Record 1
Density functional theory data (PBE) for Ta2H15N6Cl7 after structural relaxation.

Computed properties:
- uncorrected energy (Ry per atom) = -0.3863
- symmetry = Cmcm (63)
- calculated volume (Å³/cell) = 873

a b c (Å): 7.9058 11.3865 11.2434
angles (deg): 59.58 90.00 90.00
Sites, in units of the cell vectors:
Cl 0.7500 0.0292 0.3708
Cl 0.2500 0.4001 0.6292
Cl 0.2500 0.9708 0.6292
Cl 0.5273 0.7338 0.5325
Cl 0.5000 0.2139 0.0000
Cl 0.2500 0.4442 0.1115
Cl 0.7500 0.5558 0.8885
Cl 0.4727 0.2662 0.4675
Cl 0.5000 0.7861 0.0000
Cl 0.9727 0.7338 0.5325
Cl 0.0000 0.2139 0.0000
Cl 0.0000 0.7861 0.0000
Cl 0.0273 0.2662 0.4675
Cl 0.7500 0.5999 0.3708
H 0.2500 0.6852 0.1968
H 0.1442 0.0988 0.3373
H 0.8546 0.4283 0.1433
H 0.7500 0.8820 0.8032
H 0.6442 0.4361 0.6627
H 0.1454 0.5717 0.8567
H 0.3546 0.5717 0.8567
H 0.3558 0.0988 0.3373
H 0.2500 0.9176 0.1649
H 0.7500 0.2917 0.2685
H 0.1442 0.5639 0.3373
H 0.2500 0.1180 0.1968
H 0.7500 0.7532 0.7712
H 0.2500 0.7083 0.7315
H 0.2500 0.5602 0.7315
H 0.6442 0.9012 0.6627
H 0.7500 0.4398 0.2685
H 0.5367 0.1358 0.7284
H 0.7500 0.3148 0.8032
H 0.2500 0.5244 0.2288
H 0.8558 0.9012 0.6627
H 0.8558 0.4361 0.6627
H 0.6454 0.4283 0.1433
H 0.4633 0.8642 0.2716
H 0.2500 0.2468 0.2288
H 0.9633 0.1358 0.7284
H 0.7500 0.4756 0.7712
H 0.0367 0.8642 0.2716
H 0.3558 0.5639 0.3373
H 0.7500 0.0824 0.8351
Ta 0.5000 0.0000 0.0000
Ta 0.0000 0.0000 0.0000
Ta 0.2500 0.1719 0.6562
Ta 0.7500 0.8281 0.3438
N 0.4315 0.1044 0.7911
N 0.2500 0.5855 0.2766
N 0.7500 0.3964 0.2071
N 0.2500 0.1379 0.2766
N 0.0685 0.1044 0.7911
N 0.7500 0.8621 0.7234
N 0.2500 0.6036 0.7929
N 0.7500 0.0296 0.9409
N 0.9315 0.8956 0.2089
N 0.7500 0.4145 0.7234
N 0.2500 0.9704 0.0591
N 0.5685 0.8956 0.2089

---

Record 2
Density functional theory data (PBE) for TcHNCl2 after structural relaxation.

Computed properties:
- uncorrected energy (Ry per atom) = -0.2970
- symmetry = P4/mmm (123)
- calculated volume (Å³/cell) = 102

a b c (Å): 5.2411 3.7095 5.2411
angles (deg): 90.00 90.00 90.00
Sites, in units of the cell vectors:
Cl 0.0000 0.0000 0.5000
Cl 0.5000 0.0000 0.0000
H 0.5000 0.5000 0.5000
N 0.0000 0.0000 0.0000
Tc 0.0000 0.5000 0.0000

---

Record 3
Density functional theory data (PBE) for TlH4NCl4 after structural relaxation.

Computed properties:
- uncorrected energy (Ry per atom) = -0.2807
- symmetry = I4_1/a (88)
- calculated volume (Å³/cell) = 419

a b c (Å): 9.8951 9.8951 9.8951
angles (deg): 138.62 138.62 59.96
Sites, in units of the cell vectors:
H 0.5475 0.3749 0.9909
H 0.3066 0.7975 0.6726
H 0.4434 0.4525 0.8274
H 0.2025 0.8751 0.5091
H 0.3840 0.5566 0.0091
H 0.6251 0.6160 0.1726
H 0.3660 0.6934 0.4909
H 0.1249 0.6340 0.3274
Cl 0.0791 0.1774 0.5910
Cl 0.5119 0.9209 0.0983
Cl 0.2381 0.3291 0.4017
Cl 0.1636 0.7619 0.0910
Cl 0.9274 0.8364 0.5983
Cl 0.6709 0.0726 0.9090
Cl 0.8226 0.4136 0.9017
Cl 0.5864 0.4881 0.4090
N 0.2500 0.7500 0.5000
N 0.5000 0.5000 0.0000
Tl 0.0000 0.0000 0.0000
Tl 0.7500 0.2500 0.5000

---

Record 4
Density functional theory data (PBE) for TlH6N2Cl after structural relaxation.

Computed properties:
- uncorrected energy (Ry per atom) = -0.3372
- symmetry = C2/c (15)
- calculated volume (Å³/cell) = 291

a b c (Å): 6.6676 6.6676 6.5633
angles (deg): 92.49 92.49 86.99
Sites, in units of the cell vectors:
H 0.1061 0.3430 0.2814
H 0.5473 0.7770 0.0176
H 0.3430 0.1061 0.7814
H 0.6456 0.6410 0.2050
H 0.2230 0.4527 0.4824
H 0.6570 0.8939 0.2186
H 0.3590 0.3544 0.2950
H 0.7770 0.5473 0.5176
H 0.8939 0.6570 0.7186
H 0.3544 0.3590 0.7950
H 0.4527 0.2230 0.9824
H 0.6410 0.6456 0.7050
N 0.2247 0.4285 0.3274
N 0.5715 0.7753 0.1726
N 0.7753 0.5715 0.6726
N 0.4285 0.2247 0.8274
Cl 0.7388 0.2612 0.2500
Cl 0.2612 0.7388 0.7500
Tl 0.8138 0.1862 0.7500
Tl 0.1862 0.8138 0.2500

---

Record 5
Density functional theory data (PBE) for TlH4NCl3 after structural relaxation.

Computed properties:
- uncorrected energy (Ry per atom) = -0.2928
- symmetry = P1 (1)
- calculated volume (Å³/cell) = 761

a b c (Å): 7.5268 7.8845 14.9687
angles (deg): 98.23 120.03 87.25
Sites, in units of the cell vectors:
N 0.2066 0.3395 0.9026
N 0.2102 0.4022 0.4041
N 0.8507 0.9301 0.5572
N 0.9442 0.9625 0.0131
Cl 0.2257 0.2755 0.1950
Cl 0.7872 0.3128 0.3955
Cl 0.4522 0.9351 0.8521
Cl 0.8513 0.8979 0.7722
Cl 0.7626 0.3131 0.8860
Cl 0.2888 0.8595 0.5686
Cl 0.4692 0.7025 0.3611
Cl 0.8481 0.6656 0.2663
Cl 0.6014 0.2437 0.1096
Cl 0.5967 0.2531 0.6039
Cl 0.2025 0.2932 0.6849
Cl 0.2792 0.6567 0.0771
H 0.3230 0.2688 0.9548
H 0.2051 0.3505 0.3346
H 0.0637 0.3003 0.8884
H 0.2091 0.3284 0.8329
H 0.8084 0.0562 0.5503
H 0.9910 0.9122 0.5593
H 0.0718 0.3755 0.4005
H 0.2324 0.4650 0.9400
H 0.2308 0.5328 0.4120
H 0.8644 0.9052 0.6268
H 0.0145 0.0732 0.0650
H 0.3317 0.3514 0.4663
H 0.0196 0.8550 0.0463
H 0.7888 0.9575 0.9894
H 0.9510 0.9636 0.9455
H 0.7367 0.8494 0.4950
Tl 0.5447 0.4802 0.2358
Tl 0.5667 0.9777 0.2380
Tl 0.5163 0.0930 0.7254
Tl 0.5276 0.5949 0.7340

---

Record 6
Density functional theory data (PBE) for VH11N3Cl5 after structural relaxation.

Computed properties:
- uncorrected energy (Ry per atom) = -0.3490
- symmetry = Pnma (62)
- calculated volume (Å³/cell) = 1043

a b c (Å): 7.0070 10.7530 13.8362
angles (deg): 90.00 90.00 90.00
Sites, in units of the cell vectors:
V 0.3137 0.2500 0.3961
V 0.8137 0.7500 0.1039
V 0.1863 0.2500 0.8961
V 0.6863 0.7500 0.6039
H 0.9161 0.3269 0.0222
H 0.9911 0.0063 0.3649
H 0.2815 0.5801 0.1611
H 0.7185 0.4199 0.8389
H 0.5758 0.7500 0.4157
H 0.5089 0.4937 0.8649
H 0.2020 0.0171 0.5652
H 0.9911 0.4937 0.3649
H 0.2980 0.0171 0.0652
H 0.0089 0.5063 0.6351
H 0.4161 0.8269 0.4778
H 0.7980 0.9829 0.4348
H 0.3015 0.0761 0.1785
H 0.4161 0.6731 0.4778
H 0.2815 0.9199 0.1611
H 0.5089 0.0063 0.8649
H 0.0839 0.6731 0.9778
H 0.3015 0.4239 0.1785
H 0.0839 0.8269 0.9778
H 0.5839 0.3269 0.5222
H 0.2980 0.4829 0.0652
H 0.9161 0.1731 0.0222
H 0.2185 0.9199 0.6611
H 0.7020 0.9829 0.9348
H 0.0758 0.2500 0.0843
H 0.7815 0.0801 0.3389
H 0.5839 0.1731 0.5222
H 0.7020 0.5171 0.9348
H 0.0089 0.9937 0.6351
H 0.4911 0.5063 0.1351
H 0.8015 0.5761 0.3215
H 0.6985 0.5761 0.8215
H 0.2020 0.4829 0.5652
H 0.7185 0.0801 0.8389
H 0.8015 0.9239 0.3215
H 0.4911 0.9937 0.1351
H 0.1985 0.0761 0.6785
H 0.6985 0.9239 0.8215
H 0.4242 0.2500 0.5843
H 0.7980 0.5171 0.4348
H 0.7815 0.4199 0.3389
H 0.9242 0.7500 0.9157
H 0.1985 0.4239 0.6785
H 0.2185 0.5801 0.6611
N 0.5028 0.7500 0.4802
N 0.4972 0.2500 0.5198
N 0.8431 0.5017 0.3644
N 0.9972 0.7500 0.9802
N 0.6569 0.9983 0.8644
N 0.3431 0.0017 0.1356
N 0.8431 0.9983 0.3644
N 0.0028 0.2500 0.0198
N 0.3431 0.4983 0.1356
N 0.6569 0.5017 0.8644
N 0.1569 0.4983 0.6356
N 0.1569 0.0017 0.6356
Cl 0.3621 0.2500 0.7477
Cl 0.8075 0.9755 0.1000
Cl 0.6925 0.5245 0.6000
Cl 0.1925 0.0245 0.9000
Cl 0.8955 0.2500 0.8053
Cl 0.0440 0.2500 0.4958
Cl 0.6925 0.9755 0.6000
Cl 0.4560 0.2500 0.9958
Cl 0.8075 0.5245 0.1000
Cl 0.6045 0.2500 0.3053
Cl 0.5440 0.7500 0.0042
Cl 0.1379 0.2500 0.2477
Cl 0.1045 0.7500 0.1947
Cl 0.3955 0.7500 0.6947
Cl 0.6379 0.7500 0.2523
Cl 0.8621 0.7500 0.7523
Cl 0.3075 0.4755 0.4000
Cl 0.9560 0.7500 0.5042
Cl 0.3075 0.0245 0.4000
Cl 0.1925 0.4755 0.9000